This record from Alexandria via LeMat-Bulk describes an optimized crystal structure of Sr5Ca3MnFe7O24. The functional is PBE with a Hubbard U.

Computed properties:
- Final energy: -6.43 eV/atom
- Size of the total moment: 33.63 μB/f.u.

abc: 7.774 7.774 7.770
angles: 90.00 90.00 90.00
Element x y z (fractional)
O 0.249 0.503 0.004
O 0.501 0.999 0.751
O 0.502 0.998 0.249
O 0.997 0.250 0.004
O 0.997 0.249 0.496
O 0.999 0.501 0.751
O 0.503 0.249 0.004
O 0.249 0.997 0.496
O 0.250 0.997 0.004
O 0.748 0.501 0.493
O 0.503 0.252 0.495
O 0.751 0.999 0.494
O 0.501 0.751 0.006
O 0.751 0.501 0.006
O 0.501 0.501 0.748
O 0.252 0.503 0.495
O 0.998 0.998 0.250
O 0.750 0.999 0.006
O 0.999 0.999 0.750
O 0.999 0.751 0.494
O 0.503 0.503 0.252
O 0.999 0.750 0.006
O 0.501 0.748 0.493
O 0.998 0.502 0.249
Ca 0.749 0.749 0.251
Ca 0.749 0.251 0.251
Ca 0.251 0.749 0.251
Fe 0.999 0.999 0.498
Fe 0.999 0.999 0.002
Fe 0.501 0.501 0.002
Fe 0.501 0.999 0.002
Fe 0.999 0.501 0.002
Fe 0.999 0.501 0.498
Fe 0.501 0.999 0.498
Sr 0.750 0.750 0.750
Sr 0.250 0.250 0.250
Sr 0.750 0.250 0.750
Sr 0.250 0.250 0.750
Sr 0.250 0.750 0.750
Mn 0.501 0.501 0.498